Below is crystalline PrCuW2O8 at its relaxed geometry, with properties calculated at the GGA+U level.

Unit cell a=5.1376 b=6.1057 c=6.3777 alpha=108.26 beta=92.39 gamma=111.88
Last column: nearest neighbours and their distance in Å.
Fractional coordinates of all 12 atoms:
W  0.6246  0.3858  0.9362  4 O 1.81-1.98
W  0.1260  0.4149  0.6175  4 O 1.81-1.98
Pr  0.3754  0.9004  0.2769  6 O 2.41-2.43
Cu  0.8749  0.9000  0.7761  2 O 1.85
O  0.8480  0.2009  0.8025  1 Cu 1.85, 1 W 1.94
O  0.4018  0.1572  0.0496  1 W 1.81
O  0.3492  0.6436  0.5043  1 W 1.81
O  0.8728  0.6299  0.1870  1 W 1.82
O  0.3965  0.5866  0.9383  2 W 1.98-2.13
O  0.8781  0.1709  0.3666  1 W 1.82
O  0.3541  0.2140  0.6155  2 W 1.98-2.13
O  0.9026  0.5997  0.7510  1 Cu 1.85, 1 W 1.94

Properties
space group = No. 2
M_tot = 0.00 Bohr magnetons per cell
electronic total energy = -7.36 eV per atom
Fermi-level density of states = 0.0000 states/eV per atom